A plane-wave DFT calculation with PBE with a Hubbard U was carried out for MgCoF5 after structural relaxation.

abc: 5.131 9.579 7.435
angles: 90.00 109.19 90.00
Space group P2_1/c (No. 14)
Asymmetric unit:
Mg  0.024  0.014  0.228
Co  0.395  0.242  0.623
F  0.096  0.116  0.605
F  0.140  0.108  0.010
F  0.300  0.638  0.339
F  0.327  0.175  0.356
F  0.359  0.600  0.772

Calculated density = 3.43 Mg/m³
Energy relative to the lowest polymorph listed for this composition = 0.36 kcal/mol of atoms